Record 1
First-principles (PBE) data for an optimized crystal structure of Dy7HoTm4, as listed in the Alexandria database.

a = 7.089 Å, b = 6.142 Å, c = 11.239 Å
α = 79.53°, β = 50.91°, γ = 90.02°
Element x y z (fractional)
1 Dy 0.748 0.501 0.000
2 Dy 0.500 0.000 0.000
3 Dy 0.084 0.279 0.665
4 Dy 0.334 0.778 0.665
5 Dy 0.916 0.721 0.335
6 Dy 0.666 0.222 0.335
7 Dy 0.252 0.499 0.000
8 Tm 0.165 0.221 0.335
9 Tm 0.835 0.779 0.665
10 Tm 0.415 0.722 0.334
11 Tm 0.585 0.278 0.666
12 Ho 0.000 0.000 0.000

Properties
E_form	0.00	eV/atom
theoretical density	8.90	g/cm3
distance to the lowest polymorph of the same formula	0.0000	eV per atom

---

Record 2
First-principles (PBE) data for an optimized crystal structure of TbY2SnC, as listed in the Alexandria database.

a = 4.927 Å, b = 4.898 Å, c = 4.898 Å
α = 90.00°, β = 90.00°, γ = 90.00°
Element x y z (fractional)
1 Y 0.000 0.500 0.000
2 Y 0.000 0.000 0.500
3 C 0.000 0.000 0.000
4 Sn 0.500 0.500 0.500
5 Tb 0.500 0.000 0.000

Properties
E_form	-0.64	eV/atom
theoretical density	6.57	g/cm3

---

Record 3
First-principles (PBE) data for an optimized crystal structure of La2Ni5Ir5, as listed in the Alexandria database.

a = 4.068 Å, b = 5.300 Å, c = 9.003 Å
α = 90.00°, β = 90.00°, γ = 90.00°
Element x y z (fractional)
1 Ni 0.000 0.500 0.332
2 Ni 0.000 0.000 0.156
3 Ni 0.000 0.500 0.668
4 Ni 0.000 0.000 0.844
5 Ni 0.500 0.000 0.000
6 Ir 0.500 0.754 0.753
7 Ir 0.500 0.246 0.247
8 Ir 0.500 0.754 0.247
9 Ir 0.500 0.500 0.500
10 Ir 0.500 0.246 0.753
11 La 0.000 0.000 0.500
12 La 0.000 0.500 0.000

Properties
E_form	-0.42	eV/atom
theoretical density	13.11	g/cm3

---

Record 4
First-principles (PBE) data for an optimized crystal structure of Pr2Zn5Ni2Rh, as listed in the Alexandria database.

a = 3.978 Å, b = 9.418 Å, c = 9.418 Å
α = 90.00°, β = 90.00°, γ = 90.00°
Element x y z (fractional)
1 Zn 0.500 0.696 0.450
2 Zn 0.500 0.050 0.804
3 Zn 0.500 0.500 0.000
4 Zn 0.500 0.000 0.500
5 Zn 0.500 0.804 0.950
6 Zn 0.500 0.950 0.196
7 Zn 0.500 0.196 0.050
8 Zn 0.500 0.304 0.550
9 Zn 0.500 0.550 0.696
10 Zn 0.500 0.450 0.304
11 Rh 0.000 0.000 0.000
12 Rh 0.000 0.500 0.500
13 Pr 0.000 0.686 0.186
14 Pr 0.000 0.186 0.314
15 Pr 0.000 0.814 0.686
16 Pr 0.000 0.314 0.814
17 Ni 0.000 0.391 0.109
18 Ni 0.000 0.609 0.891
19 Ni 0.000 0.109 0.609
20 Ni 0.000 0.891 0.391

Properties
E_form	-0.28	eV/atom
theoretical density	7.80	g/cm3

---

Record 5
First-principles (PBE) data for an optimized crystal structure of CsZrRuO6, as listed in the Alexandria database.

a = 5.512 Å, b = 5.512 Å, c = 6.556 Å
α = 90.00°, β = 90.00°, γ = 60.00°
Last column: magnetic moment on the atom in μB.
Element x y z (fractional)
1 O 0.408 0.566 0.324  0.04
2 O 0.026 0.566 0.676  0.04
3 O 0.408 0.026 0.676  0.04
4 O 0.566 0.408 0.676  0.04
5 O 0.026 0.408 0.324  0.04
6 O 0.566 0.026 0.324  0.04
7 Ru 0.333 0.333 0.500  0.64
8 Cs 0.000 0.000 0.000  0.00
9 Zr 0.667 0.667 0.501  0.04

Properties
raw formation energy	-1.665	eV/atom
theoretical density	4.05	g/cm3

---

Record 6
First-principles (PBE) data for an optimized crystal structure of AcGaAu4, as listed in the Alexandria database.

a = 5.234 Å, b = 7.229 Å, c = 7.727 Å
α = 90.00°, β = 109.80°, γ = 90.00°
Element x y z (fractional)
1 Au 0.214 0.442 0.428
2 Au 0.786 0.942 0.572
3 Au 0.000 0.000 0.000
4 Au 0.214 0.058 0.428
5 Au 0.608 0.750 0.216
6 Au 0.786 0.558 0.572
7 Au 0.000 0.500 0.000
8 Au 0.392 0.250 0.784
9 Ac 0.390 0.750 0.781
10 Ac 0.610 0.250 0.219
11 Ga 0.872 0.250 0.744
12 Ga 0.128 0.750 0.256

Properties
E_form	-0.49	eV/atom
theoretical density	13.09	g/cm3
distance to the lowest polymorph of the same formula	0.0041	eV per atom

---

Record 7
First-principles (PBE) data for an optimized crystal structure of Ac4GeSBr2, as listed in the Alexandria database.

a = 4.518 Å, b = 7.676 Å, c = 8.015 Å
α = 109.44°, β = 90.00°, γ = 90.00°
Element x y z (fractional)
1 S 0.000 0.000 0.000
2 Ac 0.500 0.771 0.789
3 Ac 0.000 0.252 0.784
4 Ac 0.000 0.748 0.216
5 Ac 0.500 0.229 0.211
6 Ge 0.500 0.500 0.000
7 Br 0.500 0.000 0.500
8 Br 0.000 0.500 0.500

Properties
raw formation energy	-1.370	eV/atom
theoretical density	7.43	g/cm3

---

Record 8
First-principles (PBE) data for an optimized crystal structure of V3GaRe, as listed in the Alexandria database.

a = 4.581 Å, b = 4.581 Å, c = 4.581 Å
α = 90.00°, β = 90.00°, γ = 90.00°
Element x y z (fractional)
1 V 0.000 0.000 0.500
2 V 0.000 0.500 0.000
3 V 0.500 0.000 0.000
4 Re 0.000 0.000 0.000
5 Ga 0.500 0.500 0.500

Properties
E_form	1.10	eV/atom
theoretical density	7.06	g/cm3
distance to the lowest polymorph of the same formula	0.0000	eV per atom

---

Record 9
First-principles (PBE) data for an optimized crystal structure of PmHo6Tm5, as listed in the Alexandria database.

a = 6.094 Å, b = 6.089 Å, c = 11.664 Å
α = 85.01°, β = 79.99°, γ = 59.98°
Element x y z (fractional)
1 Tm 0.167 0.666 0.500
2 Tm 0.833 0.334 0.500
3 Tm 0.667 0.667 0.000
4 Tm 0.500 0.000 0.500
5 Tm 0.333 0.333 0.000
6 Pm 0.000 0.000 0.000
7 Ho 0.417 0.666 0.748
8 Ho 0.749 0.000 0.748
9 Ho 0.917 0.666 0.252
10 Ho 0.583 0.334 0.252
11 Ho 0.083 0.334 0.748
12 Ho 0.251 0.000 0.252

Properties
E_form	0.02	eV/atom
theoretical density	8.91	g/cm3

---

Record 10
First-principles (PBE) data for an optimized crystal structure of TeWSe3, as listed in the Alexandria database.

a = 4.948 Å, b = 4.948 Å, c = 4.948 Å
α = 90.00°, β = 90.00°, γ = 90.00°
Element x y z (fractional)
1 Se 0.000 0.500 0.000
2 Se 0.000 0.000 0.500
3 Se 0.500 0.000 0.000
4 W 0.000 0.000 0.000
5 Te 0.500 0.500 0.500

Properties
raw formation energy	0.339	eV/atom
theoretical density	7.52	g/cm3
distance to the lowest polymorph of the same formula	0.0000	eV per atom

---

Record 11
First-principles (PBE) data for an optimized crystal structure of RbNiPb3, as listed in the Alexandria database.

a = 5.367 Å, b = 5.367 Å, c = 5.367 Å
α = 90.00°, β = 90.00°, γ = 90.00°
Element x y z (fractional)
1 Pb 0.500 0.000 0.000
2 Pb 0.000 0.000 0.500
3 Pb 0.000 0.500 0.000
4 Ni 0.000 0.000 0.000
5 Rb 0.500 0.500 0.500

Properties
E_form	0.12	eV/atom
theoretical density	8.22	g/cm3
distance to the lowest polymorph of the same formula	0.0000	eV per atom

---

Record 12
First-principles (PBE) data for an optimized crystal structure of YNb3Se, as listed in the Alexandria database.

a = 4.983 Å, b = 4.983 Å, c = 4.983 Å
α = 90.00°, β = 90.00°, γ = 90.00°
Element x y z (fractional)
1 Nb 0.000 0.000 0.500
2 Nb 0.500 0.000 0.000
3 Nb 0.000 0.500 0.000
4 Y 0.000 0.000 0.000
5 Se 0.500 0.500 0.500

Properties
raw formation energy	2.020	eV/atom
theoretical density	5.99	g/cm3
distance to the lowest polymorph of the same formula	1.7222	eV per atom